1.
The following is a DFT calculation (PBE) of an optimized crystal structure of YPaCuOs.

```
data_YPaCuOs
_space_group_name_H-M_alt 'P 1'
_space_group_IT_number 1
_cell_length_a 4.876
_cell_length_b 4.876
_cell_length_c 4.876
_cell_angle_alpha 60.00
_cell_angle_beta 60.00
_cell_angle_gamma 60.00
loop_
_space_group_symop_operation_xyz
'x,y,z'
loop_
_atom_site_label
_atom_site_type_symbol
_atom_site_fract_x
_atom_site_fract_y
_atom_site_fract_z
_atom_site_occupancy
Os1 Os 0.750 0.750 0.750 1
Cu1 Cu 0.250 0.250 0.250 1
Y1 Y 0.500 0.500 0.500 1
Pa1 Pa 0.000 0.000 0.000 1
```

Results
Uncorrected energy ... -7.959 eV/atom
Total magnetization ... 0.00 μB/cell
Crystal system ... cubic
Calculated formation energy ... -0.137 eV/atom

2.
The following is a DFT calculation (PBE) of an optimized crystal structure of ZrPaCuOs.

```
data_ZrPaCuOs
_space_group_name_H-M_alt 'P 1'
_space_group_IT_number 1
_cell_length_a 4.770
_cell_length_b 4.770
_cell_length_c 4.770
_cell_angle_alpha 60.00
_cell_angle_beta 60.00
_cell_angle_gamma 60.00
loop_
_space_group_symop_operation_xyz
'x,y,z'
loop_
_atom_site_label
_atom_site_type_symbol
_atom_site_fract_x
_atom_site_fract_y
_atom_site_fract_z
_atom_site_occupancy
Pa1 Pa 0.750 0.750 0.750 1
Os1 Os 0.000 0.000 0.000 1
Zr1 Zr 0.250 0.250 0.250 1
Cu1 Cu 0.500 0.500 0.500 1
```

Results
Uncorrected energy ... -8.479 eV/atom
Total magnetization ... 0.00 μB/cell
Crystal system ... cubic
Calculated formation energy ... -0.136 eV/atom

3.
The following is a DFT calculation (PBE) of an optimized crystal structure of CuOsPb2.

```
data_CuOsPb2
_space_group_name_H-M_alt 'P 1'
_space_group_IT_number 1
_cell_length_a 7.438
_cell_length_b 4.945
_cell_length_c 3.293
_cell_angle_alpha 85.61
_cell_angle_beta 70.06
_cell_angle_gamma 129.68
loop_
_space_group_symop_operation_xyz
'x,y,z'
loop_
_atom_site_label
_atom_site_type_symbol
_atom_site_fract_x
_atom_site_fract_y
_atom_site_fract_z
_atom_site_occupancy
Cu1 Cu 0.000 0.500 0.500 1
Os1 Os 0.500 0.500 0.000 1
Pb1 Pb 0.000 0.000 0.000 1
Pb2 Pb 0.500 0.000 0.500 1
```

Results
Uncorrected energy ... -4.887 eV/atom
Total magnetization ... 0.00 μB/cell
Crystal system ... monoclinic
Calculated formation energy ... 0.799 eV/atom
Offset from the most stable computed form ... 0.264 eV per atom

4.
The following is a DFT calculation (PBE) of an optimized crystal structure of CuOsPb2.

```
data_CuOsPb2
_space_group_name_H-M_alt 'P 1'
_space_group_IT_number 1
_cell_length_a 4.825
_cell_length_b 4.825
_cell_length_c 4.825
_cell_angle_alpha 60.00
_cell_angle_beta 60.00
_cell_angle_gamma 60.00
loop_
_space_group_symop_operation_xyz
'x,y,z'
loop_
_atom_site_label
_atom_site_type_symbol
_atom_site_fract_x
_atom_site_fract_y
_atom_site_fract_z
_atom_site_occupancy
Os1 Os 0.500 0.500 0.500 1
Pb1 Pb 0.250 0.250 0.250 1
Pb2 Pb 0.750 0.750 0.750 1
Cu1 Cu 0.000 0.000 0.000 1
```

Results
Uncorrected energy ... -4.889 eV/atom
Total magnetization ... 0.00 μB/cell
Crystal system ... cubic
Calculated formation energy ... 0.796 eV/atom
Offset from the most stable computed form ... 0.261 eV per atom

5.
The following is a DFT calculation (PBE) of an optimized crystal structure of CuOs2Pb.

```
data_CuOs2Pb
_space_group_name_H-M_alt 'P 1'
_space_group_IT_number 1
_cell_length_a 9.387
_cell_length_b 9.387
_cell_length_c 9.387
_cell_angle_alpha 17.91
_cell_angle_beta 17.91
_cell_angle_gamma 17.91
loop_
_space_group_symop_operation_xyz
'x,y,z'
loop_
_atom_site_label
_atom_site_type_symbol
_atom_site_fract_x
_atom_site_fract_y
_atom_site_fract_z
_atom_site_occupancy
Os1 Os 0.999 0.999 0.999 1
Os2 Os 0.261 0.261 0.261 1
Pb1 Pb 0.499 0.499 0.499 1
Cu1 Cu 0.741 0.741 0.741 1
```

Results
Uncorrected energy ... -6.893 eV/atom
Total magnetization ... 0.00 μB/cell
Crystal system ... trigonal
Calculated formation energy ... 0.673 eV/atom

6.
The following is a DFT calculation (PBE) of an optimized crystal structure of CuOs2Pb.

```
data_CuOs2Pb
_space_group_name_H-M_alt 'P 1'
_space_group_IT_number 1
_cell_length_a 2.868
_cell_length_b 3.919
_cell_length_c 6.044
_cell_angle_alpha 90.00
_cell_angle_beta 90.00
_cell_angle_gamma 90.00
loop_
_space_group_symop_operation_xyz
'x,y,z'
loop_
_atom_site_label
_atom_site_type_symbol
_atom_site_fract_x
_atom_site_fract_y
_atom_site_fract_z
_atom_site_occupancy
Cu1 Cu 0.500 0.500 0.750 1
Os1 Os 0.000 0.000 0.950 1
Os2 Os 0.000 0.000 0.550 1
Pb1 Pb 0.500 0.500 0.250 1
```

Results
Uncorrected energy ... -6.580 eV/atom
Total magnetization ... 0.44 μB/cell
Crystal system ... orthorhombic
Calculated formation energy ... 0.986 eV/atom

7.
The following is a DFT calculation (PBE) of an optimized crystal structure of CuOs2Pb.

```
data_CuOs2Pb
_space_group_name_H-M_alt 'P 1'
_space_group_IT_number 1
_cell_length_a 4.783
_cell_length_b 4.783
_cell_length_c 4.783
_cell_angle_alpha 128.92
_cell_angle_beta 128.92
_cell_angle_gamma 75.14
loop_
_space_group_symop_operation_xyz
'x,y,z'
loop_
_atom_site_label
_atom_site_type_symbol
_atom_site_fract_x
_atom_site_fract_y
_atom_site_fract_z
_atom_site_occupancy
Cu1 Cu 0.750 0.250 0.500 1
Pb1 Pb 0.500 0.500 0.000 1
Os1 Os 0.250 0.750 0.500 1
Os2 Os 0.000 0.000 0.000 1
```

Results
Uncorrected energy ... -6.670 eV/atom
Total magnetization ... 0.00 μB/cell
Crystal system ... tetragonal
Calculated formation energy ... 0.896 eV/atom

8.
The following is a DFT calculation (PBE) of an optimized crystal structure of CuOs2Pb.

```
data_CuOs2Pb
_space_group_name_H-M_alt 'P 1'
_space_group_IT_number 1
_cell_length_a 2.896
_cell_length_b 2.896
_cell_length_c 9.648
_cell_angle_alpha 90.00
_cell_angle_beta 90.00
_cell_angle_gamma 119.79
loop_
_space_group_symop_operation_xyz
'x,y,z'
loop_
_atom_site_label
_atom_site_type_symbol
_atom_site_fract_x
_atom_site_fract_y
_atom_site_fract_z
_atom_site_occupancy
Os1 Os 0.000 0.000 0.002 1
Os2 Os 0.500 0.500 0.220 1
Cu1 Cu 0.500 0.500 0.777 1
Pb1 Pb 0.000 0.000 0.501 1
```

Results
Uncorrected energy ... -6.615 eV/atom
Total magnetization ... 0.01 μB/cell
Crystal system ... orthorhombic
Calculated formation energy ... 0.951 eV/atom

9.
The following is a DFT calculation (PBE) of an optimized crystal structure of CuOsPb2.

```
data_CuOsPb2
_space_group_name_H-M_alt 'P 1'
_space_group_IT_number 1
_cell_length_a 4.713
_cell_length_b 4.713
_cell_length_c 5.569
_cell_angle_alpha 79.48
_cell_angle_beta 79.48
_cell_angle_gamma 42.39
loop_
_space_group_symop_operation_xyz
'x,y,z'
loop_
_atom_site_label
_atom_site_type_symbol
_atom_site_fract_x
_atom_site_fract_y
_atom_site_fract_z
_atom_site_occupancy
Pb1 Pb 0.506 0.506 0.494 1
Pb2 Pb 0.994 0.994 0.006 1
Cu1 Cu 0.750 0.750 0.750 1
Os1 Os 0.250 0.250 0.250 1
```

Results
Uncorrected energy ... -4.855 eV/atom
Total magnetization ... 0.00 μB/cell
Crystal system ... monoclinic
Calculated formation energy ... 0.830 eV/atom
Offset from the most stable computed form ... 0.295 eV per atom

10.
The following is a DFT calculation (PBE) of an optimized crystal structure of CuOs2Pb.

```
data_CuOs2Pb
_space_group_name_H-M_alt 'P 1'
_space_group_IT_number 1
_cell_length_a 5.535
_cell_length_b 5.535
_cell_length_c 2.872
_cell_angle_alpha 75.35
_cell_angle_beta 75.35
_cell_angle_gamma 119.76
loop_
_space_group_symop_operation_xyz
'x,y,z'
loop_
_atom_site_label
_atom_site_type_symbol
_atom_site_fract_x
_atom_site_fract_y
_atom_site_fract_z
_atom_site_occupancy
Os1 Os 0.000 0.000 0.000 1
Os2 Os 0.500 0.500 0.000 1
Pb1 Pb 0.500 0.000 0.500 1
Cu1 Cu 0.000 0.500 0.500 1
```

Results
Uncorrected energy ... -6.649 eV/atom
Total magnetization ... 0.00 μB/cell
Crystal system ... monoclinic
Calculated formation energy ... 0.917 eV/atom

11.
The following is a DFT calculation (PBE) of an optimized crystal structure of CuOsPb2.

```
data_CuOsPb2
_space_group_name_H-M_alt 'P 1'
_space_group_IT_number 1
_cell_length_a 8.676
_cell_length_b 8.676
_cell_length_c 8.676
_cell_angle_alpha 22.29
_cell_angle_beta 22.29
_cell_angle_gamma 22.29
loop_
_space_group_symop_operation_xyz
'x,y,z'
loop_
_atom_site_label
_atom_site_type_symbol
_atom_site_fract_x
_atom_site_fract_y
_atom_site_fract_z
_atom_site_occupancy
Pb1 Pb 0.001 0.001 0.001 1
Pb2 Pb 0.499 0.499 0.499 1
Cu1 Cu 0.250 0.250 0.250 1
Os1 Os 0.750 0.750 0.750 1
```

Results
Uncorrected energy ... -4.947 eV/atom
Total magnetization ... 0.00 μB/cell
Crystal system ... trigonal
Calculated formation energy ... 0.738 eV/atom
Offset from the most stable computed form ... 0.203 eV per atom

12.
The following is a DFT calculation (PBE) of an optimized crystal structure of CuOs3Pb.

```
data_CuOs3Pb
_space_group_name_H-M_alt 'P 1'
_space_group_IT_number 1
_cell_length_a 4.536
_cell_length_b 4.536
_cell_length_c 4.536
_cell_angle_alpha 90.00
_cell_angle_beta 90.00
_cell_angle_gamma 90.00
loop_
_space_group_symop_operation_xyz
'x,y,z'
loop_
_atom_site_label
_atom_site_type_symbol
_atom_site_fract_x
_atom_site_fract_y
_atom_site_fract_z
_atom_site_occupancy
Os1 Os 0.000 0.500 0.000 1
Os2 Os 0.500 0.000 0.000 1
Os3 Os 0.000 0.000 0.500 1
Pb1 Pb 0.500 0.500 0.500 1
Cu1 Cu 0.000 0.000 0.000 1
```

Results
Uncorrected energy ... -6.326 eV/atom
Total magnetization ... 1.67 μB/cell
Crystal system ... cubic
Calculated formation energy ... 1.973 eV/atom
Offset from the most stable computed form ... 0.000 eV per atom

13.
The following is a DFT calculation (PBE) of an optimized crystal structure of CuOs2Pb.

```
data_CuOs2Pb
_space_group_name_H-M_alt 'P 1'
_space_group_IT_number 1
_cell_length_a 2.918
_cell_length_b 2.918
_cell_length_c 8.239
_cell_angle_alpha 90.00
_cell_angle_beta 90.00
_cell_angle_gamma 90.00
loop_
_space_group_symop_operation_xyz
'x,y,z'
loop_
_atom_site_label
_atom_site_type_symbol
_atom_site_fract_x
_atom_site_fract_y
_atom_site_fract_z
_atom_site_occupancy
Cu1 Cu 0.500 0.500 0.798 1
Os1 Os 0.000 0.000 0.011 1
Os2 Os 0.500 0.500 0.203 1
Pb1 Pb 0.000 0.000 0.488 1
```

Results
Uncorrected energy ... -7.028 eV/atom
Total magnetization ... 0.00 μB/cell
Crystal system ... tetragonal
Calculated formation energy ... 0.538 eV/atom

14.
The following is a DFT calculation (PBE) of an optimized crystal structure of CuOs2Pb.

```
data_CuOs2Pb
_space_group_name_H-M_alt 'P 1'
_space_group_IT_number 1
_cell_length_a 9.725
_cell_length_b 9.725
_cell_length_c 9.725
_cell_angle_alpha 16.91
_cell_angle_beta 16.91
_cell_angle_gamma 16.91
loop_
_space_group_symop_operation_xyz
'x,y,z'
loop_
_atom_site_label
_atom_site_type_symbol
_atom_site_fract_x
_atom_site_fract_y
_atom_site_fract_z
_atom_site_occupancy
Pb1 Pb 0.250 0.250 0.250 1
Os1 Os 0.487 0.487 0.487 1
Os2 Os 0.013 0.013 0.013 1
Cu1 Cu 0.750 0.750 0.750 1
```

Results
Uncorrected energy ... -6.546 eV/atom
Total magnetization ... 0.00 μB/cell
Crystal system ... trigonal
Calculated formation energy ... 1.020 eV/atom

15.
The following is a DFT calculation (PBE) of an optimized crystal structure of CuOsPb2.

```
data_CuOsPb2
_space_group_name_H-M_alt 'P 1'
_space_group_IT_number 1
_cell_length_a 4.470
_cell_length_b 3.496
_cell_length_c 5.455
_cell_angle_alpha 71.30
_cell_angle_beta 90.00
_cell_angle_gamma 90.00
loop_
_space_group_symop_operation_xyz
'x,y,z'
loop_
_atom_site_label
_atom_site_type_symbol
_atom_site_fract_x
_atom_site_fract_y
_atom_site_fract_z
_atom_site_occupancy
Pb1 Pb 0.500 0.273 0.328 1
Pb2 Pb 0.000 0.973 0.929 1
Cu1 Cu 0.000 0.698 0.479 1
Os1 Os 0.500 0.555 0.764 1
```

Results
Uncorrected energy ... -5.126 eV/atom
Total magnetization ... 0.00 μB/cell
Crystal system ... orthorhombic
Calculated formation energy ... 0.559 eV/atom
Offset from the most stable computed form ... 0.024 eV per atom